1.
VASP calculation (PBE) on an optimized crystal structure of UFeSi2. Values from VASP.

Quantum ESPRESSO input file:
```
&SYSTEM
  ibrav = 0, nat = 16, ntyp = 3
/
ATOMIC_SPECIES
U 238.03 U.upf
Fe 55.84 Fe.upf
Si 28.09 Si.upf
CELL_PARAMETERS angstrom
3.9652 0.0000 0.0000
0.0000 6.3381 0.0000
0.0000 0.0000 9.9031
ATOMIC_POSITIONS crystal
U 0.7500 0.8178 0.1231
U 0.2500 0.6822 0.6231
U 0.2500 0.1822 0.8769
U 0.7500 0.3178 0.3769
Fe 0.2500 0.9966 0.3930
Fe 0.7500 0.0034 0.6070
Fe 0.2500 0.4966 0.1070
Fe 0.7500 0.5034 0.8930
Si 0.2500 0.1384 0.1807
Si 0.7500 0.7968 0.4164
Si 0.2500 0.2032 0.5836
Si 0.7500 0.3616 0.6807
Si 0.2500 0.7032 0.9164
Si 0.2500 0.6384 0.3193
Si 0.7500 0.8616 0.8193
Si 0.7500 0.2968 0.0836
```

E_tot   -8.1366 eV per atom
Raw formation energy   -1.9 eV/f.u.
Total moment   0.67 μB/f.u.

2.
VASP calculation (PBE) on an optimized crystal structure of Cs2NpSnS4. Values from VASP.

Quantum ESPRESSO input file:
```
&SYSTEM
  ibrav = 0, nat = 8, ntyp = 4
/
ATOMIC_SPECIES
Cs 132.91 Cs.upf
Np 237.00 Np.upf
Sn 118.71 Sn.upf
S 32.06 S.upf
CELL_PARAMETERS angstrom
4.1994 0.0000 0.0000
0.0000 8.2598 -0.5234
0.0000 2.5518 6.9383
ATOMIC_POSITIONS crystal
Cs 0.0000 0.0000 0.0000
Cs 0.5000 0.0000 0.5000
Np 0.0000 0.5000 0.5000
Sn 0.5000 0.5000 0.0000
S 0.0000 0.6812 0.7480
S 0.0000 0.3188 0.2520
S 0.5000 0.6788 0.2906
S 0.5000 0.3212 0.7094
```

E_tot   -5.4808 eV per atom
Raw formation energy   -8.7 eV/f.u.
Total moment   3.00 μB/f.u.

3.
VASP calculation (PBE) on an optimized crystal structure of Ce2Cu3Hg. Values from VASP.

Quantum ESPRESSO input file:
```
&SYSTEM
  ibrav = 0, nat = 6, ntyp = 3
/
ATOMIC_SPECIES
Ce 140.12 Ce.upf
Cu 63.55 Cu.upf
Hg 200.59 Hg.upf
CELL_PARAMETERS angstrom
-3.9134 -0.5715 -0.0057
0.2718 -1.8256 -3.5437
2.8777 -6.0768 5.6039
ATOMIC_POSITIONS crystal
Ce 0.1335 0.1335 0.2670
Ce 0.8555 0.3555 0.7111
Cu 0.7055 0.7055 0.4110
Cu 0.5585 0.5585 0.1170
Cu 0.2902 0.7902 0.5803
Hg 0.4568 0.9568 0.9137
```

E_tot   -4.1948 eV per atom
Total moment   1.98 μB/f.u.

4.
VASP calculation (PBE) on an optimized crystal structure of ZrInFe2. Values from VASP.

Quantum ESPRESSO input file:
```
&SYSTEM
  ibrav = 0, nat = 4, ntyp = 3
/
ATOMIC_SPECIES
Fe 55.84 Fe.upf
In 114.82 In.upf
Zr 91.22 Zr.upf
CELL_PARAMETERS angstrom
-0.2760 3.0339 -3.4158
-4.0261 0.8124 -2.0195
-2.1245 4.0002 0.6582
ATOMIC_POSITIONS crystal
Fe 0.0000 0.0000 0.0000
Fe 0.2500 0.2500 0.2500
In 0.5000 0.5000 0.5000
Zr 0.7500 0.7500 0.7500
```

E_tot   -6.9211 eV per atom
Total moment   5.01 μB/f.u.

5.
VASP calculation (PBE) on an optimized crystal structure of Mg2PHRu. Values from VASP.

Quantum ESPRESSO input file:
```
&SYSTEM
  ibrav = 0, nat = 5, ntyp = 4
/
ATOMIC_SPECIES
Ru 101.07 Ru.upf
Mg 24.30 Mg.upf
H 1.01 H.upf
P 30.97 P.upf
CELL_PARAMETERS angstrom
5.0654 0.0000 0.0000
0.0000 3.1148 0.0000
0.0000 0.0000 5.0654
ATOMIC_POSITIONS crystal
Ru 0.5000 0.5000 0.5000
Mg 0.0000 0.0000 0.5000
Mg 0.5000 0.0000 0.0000
H 0.0000 0.5000 0.0000
P 0.0000 0.0000 0.0000
```

E_tot   -3.8303 eV per atom
Total moment   1.33 μB/f.u.

6.
VASP calculation (PBE) on an optimized crystal structure of MnZnGa2Te6. Values from VASP.

Quantum ESPRESSO input file:
```
&SYSTEM
  ibrav = 0, nat = 20, ntyp = 4
/
ATOMIC_SPECIES
Mn 54.94 Mn.upf
Zn 65.41 Zn.upf
Ga 69.72 Ga.upf
Te 127.60 Te.upf
CELL_PARAMETERS angstrom
-4.0100 5.7726 -1.5332
-7.8443 -2.6613 3.8202
1.4678 4.8134 7.6083
ATOMIC_POSITIONS crystal
Mn 0.2500 0.9054 0.0946
Mn 0.7500 0.0946 0.9054
Zn 0.2500 0.2420 0.7580
Zn 0.7500 0.7580 0.2420
Ga 0.2002 0.7729 0.5907
Ga 0.2998 0.4093 0.2271
Ga 0.7998 0.2271 0.4093
Ga 0.7002 0.5907 0.7729
Te 0.1153 0.9655 0.8151
Te 0.3847 0.1849 0.0345
Te 0.8847 0.0345 0.1849
Te 0.6153 0.8151 0.9655
Te 0.3843 0.9078 0.3600
Te 0.1157 0.6400 0.0922
Te 0.6157 0.0922 0.6400
Te 0.8843 0.3600 0.9078
Te 0.8833 0.6988 0.5243
Te 0.6167 0.4757 0.3012
Te 0.1167 0.3012 0.4757
Te 0.3833 0.5243 0.6988
```

E_tot   -3.7131 eV per atom
Raw formation energy   -1.8 eV/f.u.
Total moment   3.59 μB/f.u.

7.
VASP calculation (PBE) on an optimized crystal structure of LiPm12Co6. Values from VASP.

Quantum ESPRESSO input file:
```
&SYSTEM
  ibrav = 0, nat = 19, ntyp = 3
/
ATOMIC_SPECIES
Li 6.94 Li.upf
Pm 145.00 Pm.upf
Co 58.93 Co.upf
CELL_PARAMETERS angstrom
-1.9801 -3.8567 7.2576
8.3642 -0.8899 -0.8456
-1.2878 8.2415 1.3734
ATOMIC_POSITIONS crystal
Li 0.0000 0.0000 0.0000
Pm 0.8766 0.1234 0.5000
Pm 0.8196 0.5567 0.5567
Pm 0.5567 0.5567 0.8196
Pm 0.4433 0.1804 0.4433
Pm 0.4433 0.4433 0.1804
Pm 0.1804 0.4433 0.4433
Pm 0.1234 0.5000 0.8766
Pm 0.5000 0.8766 0.1234
Pm 0.1234 0.8766 0.5000
Pm 0.8766 0.5000 0.1234
Pm 0.5000 0.1234 0.8766
Pm 0.5567 0.8196 0.5567
Co 0.6864 0.2615 0.2615
Co 0.2615 0.2615 0.6864
Co 0.2615 0.6864 0.2615
Co 0.7385 0.7385 0.3136
Co 0.3136 0.7385 0.7385
Co 0.7385 0.3136 0.7385
```

E_tot   -5.2513 eV per atom
Energy relative to the lowest polymorph listed for this composition   0.184 eV/atom
Total moment   0.00 μB/f.u.

8.
VASP calculation (PBE) on an optimized crystal structure of PuGaBr. Values from VASP.

Quantum ESPRESSO input file:
```
&SYSTEM
  ibrav = 0, nat = 6, ntyp = 3
/
ATOMIC_SPECIES
Ga 69.72 Ga.upf
Br 79.90 Br.upf
Pu 244.00 Pu.upf
CELL_PARAMETERS angstrom
5.2404 0.0000 0.0000
0.0000 3.3791 0.0000
-2.6202 0.0000 9.0268
ATOMIC_POSITIONS crystal
Ga 0.4450 0.7500 0.8899
Ga 0.5550 0.2500 0.1101
Br 0.8293 0.7500 0.6586
Br 0.1707 0.2500 0.3414
Pu 0.9552 0.2500 0.9104
Pu 0.0448 0.7500 0.0896
```

E_tot   -6.8205 eV per atom
Raw formation energy   -1.4 eV/f.u.
Total moment   0.00 μB/f.u.

9.
VASP calculation (PBE) on an optimized crystal structure of Be3TlSn. Values from VASP.

Quantum ESPRESSO input file:
```
&SYSTEM
  ibrav = 0, nat = 5, ntyp = 3
/
ATOMIC_SPECIES
Be 9.01 Be.upf
Tl 204.38 Tl.upf
Sn 118.71 Sn.upf
CELL_PARAMETERS angstrom
4.7404 0.0000 0.0000
0.0000 4.7404 0.0000
0.0000 0.0000 4.7404
ATOMIC_POSITIONS crystal
Be 0.0000 0.5000 0.0000
Be 0.0000 0.0000 0.5000
Be 0.5000 0.0000 0.0000
Tl 0.5000 0.5000 0.5000
Sn 0.0000 0.0000 0.0000
```

E_tot   -2.4153 eV per atom
Energy relative to the lowest polymorph listed for this composition   0.000 eV/atom
Total moment   0.00 μB/f.u.

Here are the calculated DOS(E_F) numbers, same order: 4.8, 6.3, 13.7, 2.1, 2.8, 4.2, 15.5, 3.0, 3.0 (states/eV/f.u.).